An optimized crystal structure of CaLaHg3, computed with PBE.

Properties
energy relative to the lowest polymorph listed for this composition	0.0	meV per atom
energy relative to the elements	-0.487	eV per atom
space group	Cmcm, No. 63
Fermi-level density of states	7.5	states/eV/cell

Unit cell a=3.6637 b=5.0628 c=14.9203 alpha=90.00 beta=97.05 gamma=90.00
Positions (direct):
Ca: 0.2096 0.7500 0.4193
Ca: 0.7904 0.2500 0.5807
La: 0.9244 0.7500 0.8488
La: 0.0756 0.2500 0.1512
Hg: 0.6227 0.7500 0.2454
Hg: 0.3773 0.2500 0.7546
Hg: 0.5241 0.7500 0.0482
Hg: 0.4759 0.2500 0.9518
Hg: 0.6804 0.2500 0.3607
Hg: 0.3196 0.7500 0.6393

***

An optimized crystal structure of ReOsSe2N, computed with PBE.

Properties
energy relative to the lowest polymorph listed for this composition	0.0	meV per atom
space group	P4/mmm, No. 123
Fermi-level density of states	3.3	states/eV/cell

Unit cell a=5.0434 b=5.0434 c=3.6424 alpha=90.00 beta=90.00 gamma=90.00
Site moments in Bohr magnetons follow the coordinates.
Positions (direct):
Re: 0.5000 0.5000 0.5000  2.90
Os: 0.0000 0.0000 0.0000  -0.09
Se: 0.0000 0.5000 0.0000  -0.07
Se: 0.5000 0.0000 0.0000  -0.07
N: 0.0000 0.0000 0.5000  0.03

***

An optimized crystal structure of InSiAg2Te4, computed with PBE.

Properties
space group	Fmm2, No. 42
Fermi-level density of states	2.1	states/eV/cell

Unit cell a=6.6206 b=6.6206 c=7.5735 alpha=114.00 beta=114.00 gamma=93.98
Positions (direct):
In: 0.0174 0.0174 0.0348
Si: 0.4982 0.4982 0.9964
Ag: 0.7542 0.2542 0.5084
Ag: 0.2542 0.7542 0.5084
Te: 0.5970 0.5970 0.7398
Te: 0.4005 0.8360 0.2364
Te: 0.8360 0.4005 0.2364
Te: 0.1428 0.1428 0.7398

***

An optimized crystal structure of Th8SeS6, computed with PBE.

Properties
space group	P-3, No. 147
Fermi-level density of states	16.9	states/eV/cell

Unit cell a=4.1406 b=10.3746 c=10.3746 alpha=120.00 beta=90.00 gamma=90.00
Positions (direct):
Th: 0.7401 0.9602 0.2878
Th: 0.7401 0.7122 0.6725
Th: 0.7401 0.3275 0.0398
Th: 0.2599 0.0398 0.7122
Th: 0.2599 0.2878 0.3275
Th: 0.2599 0.6725 0.9602
Th: 0.7469 0.3333 0.6667
Th: 0.2531 0.6667 0.3333
Se: 0.5000 0.0000 0.0000
S: 0.7544 0.6410 0.1287
S: 0.7544 0.8713 0.5123
S: 0.7544 0.4877 0.3590
S: 0.2456 0.3590 0.8713
S: 0.2456 0.1287 0.4877
S: 0.2456 0.5123 0.6410

***

An optimized crystal structure of NiRuPt2, computed with PBE.

Properties
energy relative to the lowest polymorph listed for this composition	240.8	meV per atom
energy relative to the elements	0.221	eV per atom
space group	F-43m, No. 216
Fermi-level density of states	5.9	states/eV/cell

Unit cell a=4.3455 b=4.3455 c=4.3455 alpha=60.00 beta=60.00 gamma=60.00
Site moments in Bohr magnetons follow the coordinates.
Positions (direct):
Ni: 0.5000 0.5000 0.5000  0.24
Pt: 0.0000 0.0000 0.0000  0.11
Pt: 0.2500 0.2500 0.2500  0.09
Ru: 0.7500 0.7500 0.7500  1.09

***

An optimized crystal structure of Ac8Pd3RuI3, computed with PBE.

Properties
space group	C2/m, No. 12
Fermi-level density of states	11.8	states/eV/cell

Unit cell a=8.8973 b=8.8884 c=10.0810 alpha=116.18 beta=90.00 gamma=120.03
Positions (direct):
Ac: 0.2714 0.5427 0.3128
Ac: 0.7286 0.4573 0.6872
Ac: 0.7778 0.5557 0.3148
Ac: 0.2222 0.4443 0.6852
Ac: 0.7783 0.0379 0.3152
Ac: 0.2217 0.9621 0.6848
Ac: 0.2595 0.0379 0.3152
Ac: 0.7405 0.9621 0.6848
Pd: 0.5000 0.0000 0.5000
Pd: 0.5000 0.5000 0.5000
Pd: 0.0000 0.5000 0.5000
Ru: 0.0000 0.0000 0.5000
I: 0.0000 0.0000 0.0000
I: 0.0000 0.5000 0.0000
I: 0.5000 0.5000 0.0000

***

An optimized crystal structure of LiDyPuS3, computed with PBE.

Properties
space group	P2_1/m, No. 11
Fermi-level density of states	20.3	states/eV/cell

Unit cell a=3.8558 b=8.0649 c=8.3876 alpha=102.18 beta=90.00 gamma=90.00
Site moments in Bohr magnetons follow the coordinates.
Positions (direct):
Li: 0.2500 0.0868 0.5799  0.00
Li: 0.7500 0.9132 0.4201  0.00
Dy: 0.2500 0.6631 0.1701  0.09
Dy: 0.7500 0.3369 0.8299  0.09
Pu: 0.2500 0.1746 0.2144  5.41
Pu: 0.7500 0.8254 0.7856  5.41
S: 0.7500 0.8986 0.1363  -0.06
S: 0.2500 0.1014 0.8637  -0.06
S: 0.2500 0.7842 0.5050  -0.03
S: 0.7500 0.2158 0.4950  -0.03
S: 0.7500 0.4223 0.1670  -0.04
S: 0.2500 0.5777 0.8330  -0.04

***

An optimized crystal structure of SmPb2F11, computed with PBE.

Properties
space group	Ibam, No. 72
Fermi-level density of states	0.0	states/eV/cell

Unit cell a=8.0581 b=8.5233 c=8.5233 alpha=74.15 beta=61.79 gamma=61.79
Positions (direct):
Sm: 0.7500 0.7500 0.7500
Sm: 0.2500 0.2500 0.2500
Pb: 0.6403 0.6818 0.3182
Pb: 0.3597 0.3182 0.6818
Pb: 0.8597 0.1818 0.8182
Pb: 0.1403 0.8182 0.1818
F: 0.6363 0.7067 0.5616
F: 0.3637 0.2933 0.4384
F: 0.0954 0.5616 0.7067
F: 0.8637 0.9384 0.7933
F: 0.9046 0.4384 0.2933
F: 0.1363 0.0616 0.2067
F: 0.4046 0.7933 0.9384
F: 0.5954 0.2067 0.0616
F: 0.5000 0.5000 0.5000
F: 0.0000 0.0000 0.0000
F: 0.8718 0.7882 0.2118
F: 0.1282 0.2118 0.7882
F: 0.6282 0.2882 0.7118
F: 0.3718 0.7118 0.2882
F: 0.4574 0.9610 0.3218
F: 0.5426 0.0390 0.6782
F: 0.2599 0.3218 0.9610
F: 0.0426 0.1782 0.5390
F: 0.7401 0.6782 0.0390
F: 0.9574 0.8218 0.4610
F: 0.2401 0.5390 0.1782
F: 0.7599 0.4610 0.8218

***

| no. | E_tot (eV per cell) | volume (Å³ per cell) | total moment (μB/cell) |
| --- | --- | --- | --- |
| 1 | -20.5 | 275 | 0.2 |
| 2 | -33.1 | 93 | 3.2 |
| 3 | -27.3 | 266 | 0.0 |
| 4 | -107.5 | 386 | 0.0 |
| 5 | -26.3 | 58 | 1.5 |
| 6 | -74.4 | 594 | 0.4 |
| 7 | -87.0 | 255 | 11.5 |
| 8 | -135.6 | 454 | 0.0 |